# CdSi

CdSi after structural relaxation (PBE, Alexandria via LeMat-Bulk).

Calculated values
Space group: P4/m, No. 83
Uncorrected formation energy: 0.38 eV per atom

Unit cell a=10.573 b=10.573 c=3.787 alpha=90.00 beta=90.00 gamma=90.00
Fractional positions:
Cd 0.005 0.236 0.000
Cd 0.236 0.995 0.000
Cd 0.304 0.555 0.500
Cd 0.445 0.304 0.500
Cd 0.555 0.696 0.500
Cd 0.696 0.445 0.500
Cd 0.764 0.005 0.000
Cd 0.995 0.764 0.000
Si 0.174 0.345 0.500
Si 0.233 0.738 0.000
Si 0.262 0.233 0.000
Si 0.345 0.826 0.500
Si 0.655 0.174 0.500
Si 0.738 0.767 0.000
Si 0.767 0.262 0.000
Si 0.826 0.655 0.500

***

# Fe2BiPd9

Fe2BiPd9 after structural relaxation (PBE, Alexandria via LeMat-Bulk).

Calculated values
Energy relative to the elements: -137 meV/atom
Space group: P4/mmm, No. 123

Unit cell a=3.981 b=3.981 c=11.915 alpha=90.00 beta=90.00 gamma=90.00
Fractional positions:
Fe 0.000 0.000 0.158
Fe 0.000 0.000 0.842
Bi 0.000 0.000 0.500
Pd 0.000 0.500 0.000
Pd 0.000 0.500 0.317
Pd 0.000 0.500 0.683
Pd 0.500 0.000 0.000
Pd 0.500 0.000 0.317
Pd 0.500 0.000 0.683
Pd 0.500 0.500 0.159
Pd 0.500 0.500 0.500
Pd 0.500 0.500 0.841

***

# Cs3UAg2Te6

Cs3UAg2Te6 after structural relaxation (PBE, Alexandria via LeMat-Bulk).

Calculated values
Space group: P-3m1, No. 164
Uncorrected formation energy: -0.57 eV per atom

Unit cell a=8.617 b=8.617 c=9.914 alpha=90.00 beta=90.00 gamma=120.00
Fractional positions:
Cs 0.000 0.000 0.000
Cs 0.333 0.667 0.667
Cs 0.667 0.333 0.333
U 0.000 0.000 0.500
Ag 0.333 0.667 0.309
Ag 0.667 0.333 0.691
Te 0.153 0.306 0.315
Te 0.153 0.847 0.315
Te 0.306 0.153 0.685
Te 0.694 0.847 0.315
Te 0.847 0.153 0.685
Te 0.847 0.694 0.685

***

# TaW

TaW after structural relaxation (PBE, Alexandria via LeMat-Bulk).

Calculated values
Energy relative to the elements: -47 meV/atom
Space group: Cmme, No. 67

Unit cell a=2.830 b=2.830 c=9.072 alpha=90.00 beta=90.00 gamma=109.82
Fractional positions:
Ta 0.250 0.750 0.869
Ta 0.750 0.250 0.131
W 0.250 0.750 0.381
W 0.750 0.250 0.619

***

# TaV3Si

TaV3Si after structural relaxation (PBE, Alexandria via LeMat-Bulk).

Calculated values
ΔE to the lowest computed polymorph: 915.2 meV per atom
Space group: Pm-3m, No. 221
Uncorrected formation energy: 0.66 eV per atom

Unit cell a=4.361 b=4.361 c=4.361 alpha=90.00 beta=90.00 gamma=90.00
Fractional positions:
Ta 0.000 0.000 0.000
V 0.000 0.500 0.500
V 0.500 0.000 0.500
V 0.500 0.500 0.000
Si 0.500 0.500 0.500

***

# MgTlN

MgTlN after structural relaxation (PBE, Alexandria via LeMat-Bulk).

Calculated values
ΔE to the lowest computed polymorph: 0.0 meV per atom
Space group: P2_1/c, No. 14
Uncorrected formation energy: -0.13 eV per atom

Unit cell a=9.681 b=3.619 c=6.452 alpha=90.00 beta=90.40 gamma=90.00
Fractional positions:
Mg 0.099 0.009 0.337
Mg 0.099 0.491 0.837
Mg 0.901 0.509 0.163
Mg 0.901 0.991 0.663
Tl 0.361 0.598 0.151
Tl 0.361 0.902 0.651
Tl 0.639 0.098 0.349
Tl 0.639 0.402 0.849
N 0.129 0.502 0.166
N 0.129 0.998 0.666
N 0.871 0.002 0.334
N 0.871 0.498 0.834

***

# Er5SbIr2

Er5SbIr2 after structural relaxation (PBE, Alexandria via LeMat-Bulk).

Calculated values
Space group: I4/mcm, No. 140
Uncorrected formation energy: -0.86 eV per atom

Unit cell a=8.601 b=8.601 c=8.601 alpha=126.58 beta=126.58 gamma=78.93
Fractional positions:
Er 0.000 0.000 0.000
Er 0.023 0.523 0.813
Er 0.209 0.023 0.500
Er 0.291 0.791 0.813
Er 0.477 0.291 0.500
Er 0.500 0.500 0.000
Er 0.523 0.709 0.500
Er 0.709 0.209 0.187
Er 0.791 0.977 0.500
Er 0.977 0.477 0.187
Sb 0.250 0.250 0.000
Sb 0.750 0.750 0.000
Ir 0.140 0.360 0.500
Ir 0.360 0.860 0.221
Ir 0.640 0.140 0.779
Ir 0.860 0.640 0.500

***

# Hf2GaPd

Hf2GaPd after structural relaxation (PBE, Alexandria via LeMat-Bulk).

Calculated values
Energy relative to the elements: -306 meV/atom
Space group: R-3m, No. 166

Unit cell a=9.304 b=9.304 c=9.304 alpha=19.16 beta=19.16 gamma=19.16
Fractional positions:
Hf 0.248 0.248 0.248
Hf 0.752 0.752 0.752
Ga 0.000 0.000 0.000
Pd 0.500 0.500 0.500

***

# La2P3IrRh12

La2P3IrRh12 after structural relaxation (PBE, Alexandria via LeMat-Bulk).

Calculated values
Energy relative to the elements: -146 meV/atom
Space group: R-3m, No. 166

Unit cell a=7.008 b=7.008 c=7.008 alpha=74.95 beta=74.95 gamma=74.95
Fractional positions:
La 0.110 0.110 0.110
La 0.890 0.890 0.890
P 0.000 0.500 0.500
P 0.500 0.000 0.500
P 0.500 0.500 0.000
Ir 0.500 0.500 0.500
Rh 0.138 0.652 0.652
Rh 0.170 0.170 0.585
Rh 0.170 0.585 0.170
Rh 0.348 0.348 0.862
Rh 0.348 0.862 0.348
Rh 0.415 0.830 0.830
Rh 0.585 0.170 0.170
Rh 0.652 0.138 0.652
Rh 0.652 0.652 0.138
Rh 0.830 0.415 0.830
Rh 0.830 0.830 0.415
Rh 0.862 0.348 0.348

***

# PrB3Rh3

PrB3Rh3 after structural relaxation (PBE, Alexandria via LeMat-Bulk).

Calculated values
Energy relative to the elements: -230 meV/atom
Space group: P2_13, No. 198

Unit cell a=7.482 b=7.482 c=7.482 alpha=90.00 beta=90.00 gamma=90.00
Fractional positions:
Pr 0.041 0.459 0.541
Pr 0.459 0.541 0.041
Pr 0.541 0.041 0.459
Pr 0.959 0.959 0.959
B 0.029 0.664 0.186
B 0.164 0.314 0.971
B 0.186 0.029 0.664
B 0.314 0.971 0.164
B 0.336 0.686 0.471
B 0.471 0.336 0.686
B 0.529 0.836 0.814
B 0.664 0.186 0.029
B 0.686 0.471 0.336
B 0.814 0.529 0.836
B 0.836 0.814 0.529
B 0.971 0.164 0.314
Rh 0.060 0.560 0.940
Rh 0.154 0.846 0.346
Rh 0.218 0.218 0.218
Rh 0.282 0.782 0.718
Rh 0.346 0.154 0.846
Rh 0.440 0.440 0.440
Rh 0.560 0.940 0.060
Rh 0.654 0.654 0.654
Rh 0.718 0.282 0.782
Rh 0.782 0.718 0.282
Rh 0.846 0.346 0.154
Rh 0.940 0.060 0.560

***

# MgZr2Sc3

MgZr2Sc3 after structural relaxation (PBE, Alexandria via LeMat-Bulk).

Calculated values
Energy relative to the elements: -31 meV/atom
Space group: P4/mmm, No. 123

Unit cell a=3.237 b=3.237 c=13.500 alpha=90.00 beta=90.00 gamma=90.00
Fractional positions:
Mg 0.000 0.000 0.000
Zr 0.000 0.000 0.330
Zr 0.000 0.000 0.670
Sc 0.500 0.500 0.170
Sc 0.500 0.500 0.500
Sc 0.500 0.500 0.830

***

# Ac4GePI2

Ac4GePI2 after structural relaxation (PBE, Alexandria via LeMat-Bulk).

Calculated values
Space group: P2/m, No. 10
Uncorrected formation energy: -1.17 eV per atom

Unit cell a=7.842 b=4.533 c=8.573 alpha=90.00 beta=107.80 gamma=90.00
Fractional positions:
Ac 0.226 0.000 0.195
Ac 0.260 0.500 0.801
Ac 0.740 0.500 0.199
Ac 0.774 0.000 0.805
Ge 0.500 0.000 0.000
P 0.000 0.500 0.000
I 0.000 0.000 0.500
I 0.500 0.500 0.500

***

In states/eV per cell, the DOS(E_F) values for the records above are, in order, 3.23 7.17 8.63 3.44 6.06 2.26 12.52 4.49 14.52 14.33 7.17 3.42.
In eV per atom, the E values for the records above are, in order, -2.79 -5.77 -3.77 -12.45 -8.26 -4.23 -6.44 -7.34 -6.99 -6.93 -6.31 -4.87.